# MnBi3W SCAN PBEsol geometry
# - Magnetic moment: 6.88 Bohr magnetons per cell
# - Uncorrected energy: -63.33 eV per atom
# - Space-group type: No. 221
# - Energy of formation: 1.408 eV per atom
# - DOS at the Fermi energy: 3.4 states/eV/f.u.
data_MnBi3W
_cell_length_a 5.075
_cell_length_b 5.075
_cell_length_c 5.075
_cell_angle_alpha 90.00
_cell_angle_beta 90.00
_cell_angle_gamma 90.00
_space_group_name_H-M_alt 'P 1'
_space_group_IT_number 1
_space_group_name_Hall 'P 1'
loop_
_atom_site_label
_atom_site_type_symbol
_atom_site_fract_x
_atom_site_fract_y
_atom_site_fract_z
_atom_site_occupancy
Mn1 Mn 0.000 0.000 0.000 1
Bi1 Bi 0.000 0.500 0.000 1
Bi2 Bi 0.000 0.000 0.500 1
Bi3 Bi 0.500 0.000 0.000 1
W1 W 0.500 0.500 0.500 1


# YMnBi2 SCAN PBEsol geometry
# - Magnetic moment: 8.14 Bohr magnetons per cell
# - Uncorrected energy: -50.83 eV per atom
# - Space-group type: No. 122
# - Energy of formation: -0.020 eV per atom
# - DOS at the Fermi energy: 1.9 states/eV/f.u.
data_YMnBi2
_cell_length_a 5.797
_cell_length_b 5.797
_cell_length_c 9.002
_cell_angle_alpha 108.78
_cell_angle_beta 108.78
_cell_angle_gamma 90.00
_space_group_name_H-M_alt 'P 1'
_space_group_IT_number 1
_space_group_name_Hall 'P 1'
loop_
_atom_site_label
_atom_site_type_symbol
_atom_site_fract_x
_atom_site_fract_y
_atom_site_fract_z
_atom_site_occupancy
Y1 Y 0.250 0.750 0.500 1
Y2 Y 0.000 0.000 0.000 1
Mn1 Mn 0.750 0.250 0.500 1
Mn2 Mn 0.500 0.500 0.000 1
Bi1 Bi 0.816 0.375 0.250 1
Bi2 Bi 0.434 0.875 0.250 1
Bi3 Bi 0.625 0.566 0.750 1
Bi4 Bi 0.125 0.184 0.750 1


# Zr6MnBi2 SCAN PBEsol geometry
# - Magnetic moment: 2.12 Bohr magnetons per cell
# - Uncorrected energy: -40.34 eV per atom
# - Space-group type: No. 189
# - Energy of formation: -0.384 eV per atom
# - DOS at the Fermi energy: 6.8 states/eV/f.u.
data_Zr6MnBi2
_cell_length_a 3.621
_cell_length_b 7.847
_cell_length_c 7.847
_cell_angle_alpha 120.00
_cell_angle_beta 90.00
_cell_angle_gamma 90.00
_space_group_name_H-M_alt 'P 1'
_space_group_IT_number 1
_space_group_name_Hall 'P 1'
loop_
_atom_site_label
_atom_site_type_symbol
_atom_site_fract_x
_atom_site_fract_y
_atom_site_fract_z
_atom_site_occupancy
Mn1 Mn 0.500 0.000 0.000 1
Bi1 Bi 0.000 0.333 0.667 1
Bi2 Bi 0.000 0.667 0.333 1
Zr1 Zr 0.500 0.610 0.000 1
Zr2 Zr 0.500 0.390 0.390 1
Zr3 Zr 0.500 0.000 0.610 1
Zr4 Zr 0.000 0.237 0.000 1
Zr5 Zr 0.000 0.763 0.763 1
Zr6 Zr 0.000 0.000 0.237 1


# BiMo3N SCAN PBEsol geometry
# - Magnetic moment: 6.25 Bohr magnetons per cell
# - Uncorrected energy: -34.84 eV per atom
# - Space-group type: No. 221
# - DOS at the Fermi energy: 4.7 states/eV/f.u.
data_BiMo3N
_cell_length_a 4.988
_cell_length_b 4.988
_cell_length_c 4.988
_cell_angle_alpha 90.00
_cell_angle_beta 90.00
_cell_angle_gamma 90.00
_space_group_name_H-M_alt 'P 1'
_space_group_IT_number 1
_space_group_name_Hall 'P 1'
loop_
_atom_site_label
_atom_site_type_symbol
_atom_site_fract_x
_atom_site_fract_y
_atom_site_fract_z
_atom_site_occupancy
Mo1 Mo 0.000 0.500 0.000 1
Mo2 Mo 0.000 0.000 0.500 1
Mo3 Mo 0.500 0.000 0.000 1
Bi1 Bi 0.000 0.000 0.000 1
N1 N 0.500 0.500 0.500 1


# TiNiBi2Mo SCAN PBEsol geometry
# - Magnetic moment: 0.00 Bohr magnetons per cell
# - Uncorrected energy: -43.49 eV per atom
# - Space-group type: No. 123
# - Energy of formation: 1.362 eV per atom
# - DOS at the Fermi energy: 4.1 states/eV/f.u.
data_TiNiBi2Mo
_cell_length_a 4.400
_cell_length_b 5.245
_cell_length_c 5.245
_cell_angle_alpha 90.00
_cell_angle_beta 90.00
_cell_angle_gamma 90.00
_space_group_name_H-M_alt 'P 1'
_space_group_IT_number 1
_space_group_name_Hall 'P 1'
loop_
_atom_site_label
_atom_site_type_symbol
_atom_site_fract_x
_atom_site_fract_y
_atom_site_fract_z
_atom_site_occupancy
Ni1 Ni 0.500 0.500 0.500 1
Mo1 Mo 0.500 0.000 0.000 1
Bi1 Bi 0.000 0.000 0.500 1
Bi2 Bi 0.000 0.500 0.000 1
Ti1 Ti 0.000 0.000 0.000 1


# Bi2MoO6 SCAN PBEsol geometry
# - Magnetic moment: 0.00 Bohr magnetons per cell
# - Uncorrected energy: -27.16 eV per atom
# - Space-group type: No. 29
# - DOS at the Fermi energy: 0.0 states/eV/f.u.
data_Bi2MoO6
_cell_length_a 5.498
_cell_length_b 5.478
_cell_length_c 16.208
_cell_angle_alpha 90.00
_cell_angle_beta 90.00
_cell_angle_gamma 90.00
_space_group_name_H-M_alt 'P 1'
_space_group_IT_number 1
_space_group_name_Hall 'P 1'
loop_
_atom_site_label
_atom_site_type_symbol
_atom_site_fract_x
_atom_site_fract_y
_atom_site_fract_z
_atom_site_occupancy
Bi1 Bi 0.522 0.950 0.422 1
Bi2 Bi 0.979 0.970 0.922 1
Bi3 Bi 0.478 0.450 0.578 1
Bi4 Bi 0.521 0.470 0.922 1
Bi5 Bi 0.021 0.470 0.078 1
Bi6 Bi 0.479 0.970 0.078 1
Bi7 Bi 0.978 0.450 0.422 1
Bi8 Bi 0.022 0.950 0.578 1
Mo1 Mo 0.507 0.972 0.750 1
Mo2 Mo 0.007 0.972 0.250 1
Mo3 Mo 0.493 0.472 0.250 1
Mo4 Mo 0.993 0.472 0.750 1
O1 O 0.085 0.549 0.644 1
O2 O 0.219 0.315 0.272 1
O3 O 0.306 0.730 0.773 1
O4 O 0.574 0.070 0.857 1
O5 O 0.743 0.224 0.503 1
O6 O 0.243 0.743 0.997 1
O7 O 0.243 0.224 0.497 1
O8 O 0.757 0.724 0.503 1
O9 O 0.806 0.730 0.227 1
O10 O 0.281 0.815 0.272 1
O11 O 0.781 0.815 0.728 1
O12 O 0.926 0.570 0.857 1
O13 O 0.915 0.049 0.356 1
O14 O 0.426 0.570 0.143 1
O15 O 0.743 0.743 0.003 1
O16 O 0.074 0.070 0.143 1
O17 O 0.194 0.230 0.773 1
O18 O 0.719 0.315 0.728 1
O19 O 0.694 0.230 0.227 1
O20 O 0.257 0.243 0.997 1
O21 O 0.257 0.724 0.497 1
O22 O 0.415 0.049 0.644 1
O23 O 0.757 0.243 0.003 1
O24 O 0.585 0.549 0.356 1


Copy entry 1 word for word.
# MnBi3W SCAN PBEsol geometry
# - Magnetic moment: 6.88 Bohr magnetons per cell
# - Uncorrected energy: -63.33 eV per atom
# - Space-group type: No. 221
# - Energy of formation: 1.408 eV per atom
# - DOS at the Fermi energy: 3.4 states/eV/f.u.
data_MnBi3W
_cell_length_a 5.075
_cell_length_b 5.075
_cell_length_c 5.075
_cell_angle_alpha 90.00
_cell_angle_beta 90.00
_cell_angle_gamma 90.00
_space_group_name_H-M_alt 'P 1'
_space_group_IT_number 1
_space_group_name_Hall 'P 1'
loop_
_atom_site_label
_atom_site_type_symbol
_atom_site_fract_x
_atom_site_fract_y
_atom_site_fract_z
_atom_site_occupancy
Mn1 Mn 0.000 0.000 0.000 1
Bi1 Bi 0.000 0.500 0.000 1
Bi2 Bi 0.000 0.000 0.500 1
Bi3 Bi 0.500 0.000 0.000 1
W1 W 0.500 0.500 0.500 1